Entry 1:
Material: Na2MgIn4
Method: DFT, PBE
State: relaxed

## Properties
Magnetic moment (μB/f.u.): 0.00
E_tot (eV per formula unit): -14.89
N(E_F) (states/eV per cell): 5.9
Formation enthalpy at 0 K (eV/atom): 0.04
Offset from the most stable computed form (meV per atom): 65

Cell lengths 6.0637, 14.9775, 4.9548 Å; angles 90.00, 90.00, 90.00 degrees
Closest atoms and distances in Å follow each position.
Space group Cmmm (No. 65)
Symmetry-distinct sites (fractional):
Na (0.0000, 0.1416, 0.0000) (multiplicity 4)  4 In 3.10-3.31
Mg (0.0000, 0.5000, 0.5000) (multiplicity 2)  6 In 2.89-3.17
In (0.0000, 0.2885, 0.5000) (multiplicity 4)  4 In 3.00-3.24, 1 Mg 3.17, 2 Na 3.31
In (0.0000, 0.4010, 0.0000) (multiplicity 4)  2 Mg 2.89, 3 In 2.97-3.00, 2 Na 3.10

***

Entry 2:
Material: NiBiBr2
Method: DFT, PBE
State: relaxed

## Properties
Magnetic moment (μB/f.u.): 1.15
E_tot (eV per formula unit): -13.42
N(E_F) (states/eV per cell): 10.0
Uncorrected formation energy (meV per atom): -103
Offset from the most stable computed form (meV per atom): 0

Cell lengths 3.6730, 3.6730, 26.7562 Å; angles 90.00, 90.00, 120.00 degrees
Closest atoms and distances in Å follow each position.
Space group R-3m (No. 166, hexagonal axes)
Symmetry-distinct sites (fractional):
Ni (0.0000, 0.0000, 0.0000) (multiplicity 3)  6 Br 2.56
Bi (0.0000, 0.0000, 0.5000) (multiplicity 3)  2 Br 3.02
Br (0.0000, 0.0000, 0.3870) (multiplicity 6)  3 Ni 2.56

***

Entry 3:
Material: ZrUC2
Method: DFT, PBE
State: relaxed

## Properties
Magnetic moment (μB/f.u.): 0.08
E_tot (eV per formula unit): -39.27
N(E_F) (states/eV per cell): 8.4
Formation enthalpy at 0 K (eV/atom): -0.25
Offset from the most stable computed form (meV per atom): 248

Cell lengths 3.3169, 3.3169, 17.7769 Å; angles 90.00, 90.00, 120.00 degrees
Closest atoms and distances in Å follow each position.
Space group R3m (No. 160, hexagonal axes)
Symmetry-distinct sites (fractional):
Zr (0.0000, 0.0000, 0.0000) (multiplicity 3)  6 C 2.33-2.49
U (0.0000, 0.0000, 0.8263) (multiplicity 3)  6 C 2.43-2.44
C (0.0000, 0.0000, 0.4082) (multiplicity 3)  3 Zr 2.33, 3 U 2.44
C (0.0000, 0.0000, 0.5775) (multiplicity 3)  3 U 2.43, 3 Zr 2.49

***

Entry 4:
Material: NbCF3
Method: DFT, PBE
State: relaxed

## Properties
Magnetic moment (μB/f.u.): 3.08
E_tot (eV per formula unit): -22.76
N(E_F) (states/eV per cell): 4.9
Uncorrected formation energy (meV per atom): 430
Offset from the most stable computed form (meV per atom): 997

Cell lengths 3.9673, 3.9673, 3.9673 Å; angles 90.00, 90.00, 90.00 degrees
Closest atoms and distances in Å follow each position.
Space group Pm-3m (No. 221)
Symmetry-distinct sites (fractional):
Nb (0.0000, 0.0000, 0.0000) (multiplicity 1)  12 F 2.81
C (0.5000, 0.5000, 0.5000) (multiplicity 1)  6 F 1.98
F (0.0000, 0.5000, 0.5000) (multiplicity 3)  2 C 1.98

***

Entry 5:
Material: IrSe3Cl
Method: DFT, PBE
State: relaxed

## Properties
Magnetic moment (μB/f.u.): 1.50
E_tot (eV per formula unit): -12.94
N(E_F) (states/eV per cell): 5.8
Uncorrected formation energy (meV per atom): 1644
Offset from the most stable computed form (meV per atom): 1109

Cell lengths 4.8339, 4.8339, 4.8339 Å; angles 90.00, 90.00, 90.00 degrees
Closest atoms and distances in Å follow each position.
Space group Pm-3m (No. 221)
Symmetry-distinct sites (fractional):
Ir (0.0000, 0.0000, 0.0000) (multiplicity 1)  12 Se 3.42
Se (0.0000, 0.5000, 0.5000) (multiplicity 3)  2 Cl 2.42
Cl (0.5000, 0.5000, 0.5000) (multiplicity 1)  6 Se 2.42

***

Entry 6:
Material: PmPrHgGe
Method: DFT, PBE
State: relaxed

## Properties
Magnetic moment (μB/f.u.): 0.00
E_tot (eV per formula unit): -16.72
N(E_F) (states/eV per cell): 13.0
Formation enthalpy at 0 K (eV/atom): -0.57

Cell lengths 7.5161, 7.5161, 7.5161 Å; angles 90.00, 90.00, 90.00 degrees
Closest atoms and distances in Å follow each position.
Space group F-43m (No. 216)
Symmetry-distinct sites (fractional):
Pm (0.0000, 0.0000, 0.0000) (multiplicity 4)  4 Ge 3.25, 4 Hg 3.25
Pr (0.0000, 0.0000, 0.5000) (multiplicity 4)  4 Ge 3.25, 4 Hg 3.25
Hg (0.2500, 0.2500, 0.2500) (multiplicity 4)  4 Pr 3.25, 4 Pm 3.25
Ge (0.2500, 0.2500, 0.7500) (multiplicity 4)  4 Pr 3.25, 4 Pm 3.25

***

Entry 7:
Material: TaICl3
Method: DFT, PBE
State: relaxed

## Properties
Magnetic moment (μB/f.u.): 0.02
E_tot (eV per formula unit): -20.90
N(E_F) (states/eV per cell): 3.9
Uncorrected formation energy (meV per atom): -392
Offset from the most stable computed form (meV per atom): 672

Cell lengths 4.9277, 4.9277, 4.9277 Å; angles 90.00, 90.00, 90.00 degrees
Closest atoms and distances in Å follow each position.
Space group Pm-3m (No. 221)
Symmetry-distinct sites (fractional):
Ta (0.0000, 0.0000, 0.0000) (multiplicity 1)  6 Cl 2.46
I (0.5000, 0.5000, 0.5000) (multiplicity 1)  12 Cl 3.48
Cl (0.0000, 0.0000, 0.5000) (multiplicity 3)  2 Ta 2.46

***

Entry 8:
Material: LaTl3Cl
Method: DFT, PBE
State: relaxed

## Properties
Magnetic moment (μB/f.u.): 0.00
E_tot (eV per formula unit): -14.26
N(E_F) (states/eV per cell): 4.2
Uncorrected formation energy (meV per atom): -77
Offset from the most stable computed form (meV per atom): 0

Cell lengths 5.5909, 5.5909, 5.5909 Å; angles 90.00, 90.00, 90.00 degrees
Closest atoms and distances in Å follow each position.
Space group Pm-3m (No. 221)
Symmetry-distinct sites (fractional):
La (0.0000, 0.0000, 0.0000) (multiplicity 1)  12 Tl 3.95
Tl (0.0000, 0.5000, 0.5000) (multiplicity 3)  2 Cl 2.80
Cl (0.5000, 0.5000, 0.5000) (multiplicity 1)  6 Tl 2.80